No. 1
# NbReRh3

An optimized crystal structure of NbReRh3 (PBE, Alexandria).

The energy above the most stable polymorph in this dataset comes out at 0 meV per atom. The formation enthalpy at 0 K is 6.6 eV/f.u.

The structure belongs to space group Pm-3m (No. 221); the cell edges are 4.6627, 4.6627 and 4.6627 Å and the angles 90.00°, 90.00° and 90.00°. Symmetry generates all atoms from Nb at (0.0000, 0.0000, 0.0000), Re at (0.5000, 0.5000, 0.5000) and Rh at (0.0000, 0.5000, 0.5000).

***

No. 2
# PuMnCuPt

An optimized crystal structure of PuMnCuPt (PBE, Alexandria).

The formation enthalpy at 0 K is -0.2 eV/f.u.

The structure belongs to space group F-43m (No. 216); the cell edges are 6.6595, 6.6595 and 6.6595 Å and the angles 90.00°, 90.00° and 90.00°. Symmetry generates all atoms from Pu at (0.0000, 0.0000, 0.0000), Mn at (0.0000, 0.0000, 0.5000), Cu at (0.2500, 0.2500, 0.7500) and Pt at (0.2500, 0.2500, 0.2500).

***

No. 3
# ZrTa4N2

An optimized crystal structure of ZrTa4N2 (PBE, Alexandria).

The calculation puts the formation energy without anion corrections at 1505 meV per atom.

The structure belongs to space group I4/mmm (No. 139); the cell edges are 4.8202, 4.8202 and 11.3409 Å and the angles 90.00°, 90.00° and 90.00°. Symmetry generates all atoms from Zr at (0.0000, 0.0000, 0.0000), Ta at (0.0000, 0.0000, 0.2505), Ta at (0.0000, 0.5000, 0.0000) and N at (0.0000, 0.0000, 0.4114).

***

No. 4
# NaIn2TeAs

An optimized crystal structure of NaIn2TeAs (PBE, Alexandria).

The calculation puts the formation energy without anion corrections at 474 meV per atom.

The structure belongs to space group P4/mmm (No. 123); the cell edges are 5.5902, 5.5902 and 5.1434 Å and the angles 90.00°, 90.00° and 90.00°. Symmetry generates all atoms from Na at (0.0000, 0.0000, 0.0000), In at (0.0000, 0.5000, 0.0000), Te at (0.5000, 0.5000, 0.5000) and As at (0.0000, 0.0000, 0.5000).

***

no.,raw total energy (eV per cell)
1,-38.0
2,-135.5
3,-124.2
4,-12.2